The following is a PBE calculation of crystalline Pr2IrBr2 at its relaxed geometry, from Alexandria.

a b c (Å): 4.1719 4.1719 33.0166
angles (deg): 90.00 90.00 120.00
Last column: nearest neighbours and their distance in Å.
Space group R-3m (No. 166, hexagonal axes)
Symmetry-distinct sites (fractional):
Pr1 0.0000 0.0000 0.1166 x6  3 Ir 2.92, 3 Br 3.10
Ir1 0.0000 0.0000 0.5000 x3  6 Pr 2.92
Br1 0.0000 0.0000 0.2760 x6  3 Pr 3.10

## Properties
V = 498 Å³ per cell
D(E_F) = 2.31 states/eV/f.u.
Magnetic moment = 0.0 Bohr magnetons per cell
Formation energy (no corrections) = -1273 meV per atom